{
  "formula": "Gd2DyAs3",
  "functional": "PBE",
  "state": "optimized geometry",
  "energy_ev_per_atom": -6.184,
  "rho_g_cm3": 7.73,
  "space_group": "P-3m1 (164)",
  "cell": [[4.1431, 0.0000, 0.0000], [-2.0715, 3.5880, 0.0000], [0.0000, 0.0000, 10.1386]],
  "species": ["Gd", "Gd", "Dy", "As", "As", "As"],
  "frac_coords": [[0.3333, 0.6667, 0.3325], [0.6667, 0.3333, 0.6675], [0.0000, 0.0000, 0.0000], [0.0000, 0.0000, 0.5000], [0.3333, 0.6667, 0.8354], [0.6667, 0.3333, 0.1646]]
}

***

{
  "formula": "GdDyZn2As2O2",
  "functional": "PBE",
  "state": "optimized geometry",
  "energy_ev_per_atom": -5.707,
  "rho_g_cm3": 7.51,
  "space_group": "P4mm (99)",
  "cell": [[3.9618, 0.0000, 0.0000], [0.0000, 3.9618, 0.0000], [0.0000, 0.0000, 8.9135]],
  "species": ["Gd", "Dy", "Zn", "Zn", "As", "As", "O", "O"],
  "frac_coords": [[0.0000, 0.0000, 0.0000], [0.5000, 0.5000, 0.7521], [0.0000, 0.5000, 0.3752], [0.5000, 0.0000, 0.3752], [0.0000, 0.0000, 0.5574], [0.5000, 0.5000, 0.1920], [0.0000, 0.5000, 0.8732], [0.5000, 0.0000, 0.8732]]
}

***

{
  "formula": "GdDyTe2As2",
  "functional": "PBE",
  "state": "optimized geometry",
  "energy_ev_per_atom": -5.297,
  "rho_g_cm3": 7.91,
  "space_group": "P4mm (99)",
  "cell": [[4.0880, 0.0000, 0.0000], [0.0000, 4.0880, 0.0000], [0.0000, 0.0000, 9.1088]],
  "species": ["Gd", "Dy", "Te", "Te", "As", "As"],
  "frac_coords": [[0.0000, 0.0000, 0.0000], [0.5000, 0.5000, 0.5071], [0.0000, 0.0000, 0.6266], [0.5000, 0.5000, 0.8773], [0.0000, 0.5000, 0.2549], [0.5000, 0.0000, 0.2549]]
}

***

{
  "formula": "GdDyZr2As2",
  "functional": "PBE",
  "state": "optimized geometry",
  "energy_ev_per_atom": -6.943,
  "rho_g_cm3": 8.06,
  "space_group": "I4mm (107)",
  "cell": [[4.0996, 0.0000, 0.0000], [0.0000, 4.0996, 0.0000], [0.0000, 0.0000, 15.9792]],
  "species": ["Gd", "Gd", "Dy", "Dy", "Zr", "Zr", "Zr", "Zr", "As", "As", "As", "As"],
  "frac_coords": [[0.0000, 0.0000, 0.0000], [0.5000, 0.5000, 0.5000], [0.0000, 0.0000, 0.3554], [0.5000, 0.5000, 0.8554], [0.0000, 0.5000, 0.1783], [0.0000, 0.5000, 0.6783], [0.5000, 0.0000, 0.1783], [0.5000, 0.0000, 0.6783], [0.0000, 0.0000, 0.5463], [0.0000, 0.0000, 0.8100], [0.5000, 0.5000, 0.0463], [0.5000, 0.5000, 0.3100]]
}

***

{
  "formula": "Dy2HfAs3",
  "functional": "PBE",
  "state": "optimized geometry",
  "energy_ev_per_atom": -6.871,
  "rho_g_cm3": 8.87,
  "space_group": "P-3m1 (164)",
  "cell": [[3.9983, 0.0000, 0.0000], [-1.9991, 3.4626, 0.0000], [0.0000, 0.0000, 9.8507]],
  "species": ["Dy", "Dy", "Hf", "As", "As", "As"],
  "frac_coords": [[0.3333, 0.6667, 0.3279], [0.6667, 0.3333, 0.6721], [0.0000, 0.0000, 0.0000], [0.0000, 0.0000, 0.5000], [0.3333, 0.6667, 0.8464], [0.6667, 0.3333, 0.1536]]
}

***

{
  "formula": "Dy4Hf3As4",
  "functional": "PBE",
  "state": "optimized geometry",
  "energy_ev_per_atom": -6.741,
  "rho_g_cm3": 9.73,
  "space_group": "Pm (6)",
  "cell": [[7.4226, 0.0000, 0.0000], [0.0000, 3.8710, 0.0000], [-1.3184, 0.0000, 8.8242]],
  "species": ["Dy", "Dy", "Dy", "Dy", "Hf", "Hf", "Hf", "As", "As", "As", "As"],
  "frac_coords": [[0.0000, 0.0000, 0.0000], [0.0659, 0.5000, 0.4468], [0.4418, 0.0000, 0.5926], [0.7463, 0.5000, 0.1461], [0.3150, 0.5000, 0.8738], [0.4457, 0.0000, 0.2172], [0.7817, 0.5000, 0.7482], [0.0742, 0.0000, 0.6986], [0.2041, 0.5000, 0.1608], [0.5921, 0.0000, 0.9178], [0.6454, 0.5000, 0.4365]]
}